(1)
Si2SbAu: single point on PBEsol structure, SCAN.

```
Si2SbAu
1.0
-2.650 -1.267 0.805
2.016 -4.474 -0.406
1.360 0.180 4.764
Si Sb Au
2 1 1
direct
0.500 0.500 0.000
0.000 0.000 0.000
0.000 0.500 0.500
0.500 0.000 0.500
```

DOS at the Fermi energy   1.8 states/eV per cell
DFT total energy   -30.9993 eV/atom
M_tot   0.00 μB per formula unit

---

(2)
Si2SbAu: single point on PBEsol structure, SCAN.

```
Si2SbAu
1.0
-1.809 -0.914 2.681
-0.550 -3.200 -1.462
5.181 -2.152 2.761
Si Sb Au
2 1 1
direct
0.000 0.000 0.200
0.000 0.000 0.800
0.500 0.500 0.500
0.500 0.500 0.000
```

DOS at the Fermi energy   1.8 states/eV per cell
DFT total energy   -31.1393 eV/atom
M_tot   0.00 μB per formula unit

---

(3)
Sm3Sb4Au3: single point on PBEsol structure, SCAN.

```
Sm3Sb4Au3
1.0
8.559 0.000 0.000
-2.853 8.070 0.000
-2.853 -4.035 6.989
Au Sb Sm
6 8 6
direct
0.750 0.625 0.875
0.250 0.875 0.625
0.125 0.250 0.375
0.625 0.375 0.250
0.375 0.750 0.125
0.875 0.125 0.750
0.676 0.676 0.176
0.824 0.000 0.000
0.176 0.176 0.676
0.000 0.500 0.324
0.324 0.000 0.000
0.500 0.824 0.500
0.500 0.324 0.500
0.000 0.500 0.824
0.375 0.625 0.750
0.250 0.375 0.125
0.625 0.250 0.875
0.875 0.750 0.625
0.125 0.875 0.250
0.750 0.125 0.375
```

DFT total energy   -50.0571 eV/atom
M_tot   0.00 μB per formula unit

---

(4)
SnSbAu3: single point on PBEsol structure, SCAN.

```
SnSbAu3
1.0
-0.098 -3.336 3.811
1.077 -3.739 -3.245
4.949 0.747 0.782
Au Sn Sb
3 1 1
direct
0.000 0.000 0.500
0.500 0.000 0.000
0.000 0.500 0.000
0.000 0.000 0.000
0.500 0.500 0.500
```

DOS at the Fermi energy   4.4 states/eV per cell
DFT total energy   -55.4849 eV/atom
M_tot   0.00 μB per formula unit

---

(5)
Sn2SbAu2: single point on PBEsol structure, SCAN.

```
Sn2SbAu2
1.0
4.371 0.000 0.000
0.000 4.371 0.000
-2.185 -2.185 6.141
Au Sn Sb
2 2 1
direct
0.394 0.394 0.787
0.606 0.606 0.213
0.250 0.750 0.500
0.750 0.250 0.500
0.000 0.000 0.000
```

DOS at the Fermi energy   2.1 states/eV per cell
DFT total energy   -49.3600 eV/atom
M_tot   0.00 μB per formula unit

---

(6)
Sr2SbAu: single point on PBEsol structure, SCAN.

```
Sr2SbAu
1.0
-3.820 1.415 1.795
0.053 -3.604 2.952
4.955 2.545 3.019
Au Sr Sb
1 2 1
direct
0.544 0.000 0.087
0.987 0.500 0.974
0.267 0.000 0.534
0.702 0.500 0.405
```

DOS at the Fermi energy   0.7 states/eV per cell
DFT total energy   -38.7749 eV/atom
M_tot   0.00 μB per formula unit

---

(7)
Sr2SbAu: single point on PBEsol structure, SCAN.

```
Sr2SbAu
1.0
3.936 0.000 0.000
0.000 5.451 0.000
0.000 0.000 5.451
Sr Sb Au
2 1 1
direct
0.000 0.000 0.500
0.000 0.500 0.000
0.500 0.000 0.000
0.500 0.500 0.500
```

DOS at the Fermi energy   0.9 states/eV per cell
DFT total energy   -38.7151 eV/atom
M_tot   0.00 μB per formula unit

---

(8)
TaSbAu2: single point on PBEsol structure, SCAN.

```
TaSbAu2
1.0
3.142 0.000 0.000
0.000 5.098 0.035
0.000 -2.101 4.645
Au Sb Ta
2 1 1
direct
0.000 0.000 0.500
0.000 0.500 0.000
0.500 0.000 0.000
0.500 0.500 0.500
```

DOS at the Fermi energy   2.0 states/eV per cell
DFT total energy   -60.3917 eV/atom
M_tot   0.00 μB per formula unit

---

(9)
TaSbAu2: single point on PBEsol structure, SCAN.

```
TaSbAu2
1.0
3.777 0.000 0.000
0.000 4.321 0.000
0.000 0.000 4.490
Sb Au Ta
1 2 1
direct
0.500 0.000 0.500
0.500 0.500 0.000
0.000 0.000 0.000
0.000 0.500 0.500
```

DOS at the Fermi energy   2.7 states/eV per cell
DFT total energy   -60.3455 eV/atom
M_tot   0.00 μB per formula unit

---

(10)
TcSbAu2: single point on PBEsol structure, SCAN.

```
TcSbAu2
1.0
-0.980 -4.096 0.754
1.347 -1.045 -3.925
3.287 1.987 2.931
Sb Au Tc
1 2 1
direct
0.500 0.500 0.000
0.000 0.000 0.000
0.250 0.750 0.500
0.750 0.250 0.500
```

DOS at the Fermi energy   2.8 states/eV per cell
DFT total energy   -52.2753 eV/atom
M_tot   0.00 μB per formula unit

---

(11)
TcSbAu2: single point on PBEsol structure, SCAN.

```
TcSbAu2
1.0
-1.582 -0.981 -2.448
-0.355 -4.039 1.926
-4.410 1.467 2.263
Sb Tc Au
1 1 2
direct
0.000 0.500 0.500
0.500 0.000 0.500
0.251 0.245 0.000
0.749 0.755 0.000
```

DOS at the Fermi energy   2.5 states/eV per cell
DFT total energy   -52.3163 eV/atom
M_tot   0.99 μB per formula unit

---

(12)
SbTeAu3: single point on PBEsol structure, SCAN.

```
SbTeAu3
1.0
-1.019 4.767 -1.635
1.095 -1.419 -4.819
-4.919 -1.303 -0.734
Au Te Sb
3 1 1
direct
0.500 0.000 0.000
0.000 0.500 0.000
0.000 0.000 0.500
0.000 0.000 0.000
0.500 0.500 0.500
```

DOS at the Fermi energy   5.2 states/eV per cell
DFT total energy   -55.7388 eV/atom
M_tot   0.00 μB per formula unit